1.
{
  "formula": "BaZr3O",
  "functional": "PBE",
  "state": "relaxed",
  "polymorph_energy_ev_per_atom": 2.684,
  "mass_density_g_cm3": 4.80,
  "spacegroup": "Pm-3m (221)",
  "formation_energy_uncorrected_ev_per_atom": 2.24,
  "lattice_angstrom": [[-1.8685, -3.1717, 3.7928], [-3.0986, -2.4083, -3.5405], [3.8528, -3.4751, -1.0080]],
  "species": ["O", "Zr", "Zr", "Zr", "Ba"],
  "frac_coords": [[0.5000, 0.5000, 0.5000], [0.0000, 0.5000, 0.0000], [0.5000, 0.0000, 0.0000], [0.0000, 0.0000, 0.5000], [0.0000, 0.0000, 0.0000]]
}



2.
{
  "formula": "Ba2ZrO6",
  "functional": "PBE",
  "state": "relaxed",
  "mass_density_g_cm3": 5.11,
  "spacegroup": "P4/mmm (123)",
  "formation_energy_uncorrected_ev_per_atom": -1.94,
  "lattice_angstrom": [[4.1887, 0.0000, 0.0000], [0.0000, 4.1887, 0.0000], [0.0000, 0.0000, 8.5609]],
  "species": ["O", "O", "O", "O", "O", "O", "Ba", "Ba", "Zr"],
  "frac_coords": [[0.0000, 0.5000, 0.0000], [0.5000, 0.0000, 0.0000], [0.5000, 0.5000, 0.2561], [0.0000, 0.5000, 0.5000], [0.5000, 0.5000, 0.7439], [0.5000, 0.0000, 0.5000], [0.0000, 0.0000, 0.7770], [0.0000, 0.0000, 0.2230], [0.5000, 0.5000, 0.5000]]
}



3.
{
  "formula": "Ba3Zr2O7",
  "functional": "PBE",
  "state": "relaxed",
  "mass_density_g_cm3": 5.86,
  "spacegroup": "I4/mmm (139)",
  "formation_energy_uncorrected_ev_per_atom": -3.11,
  "lattice_angstrom": [[-1.1762, 4.0550, -0.5320], [-0.1533, -0.5969, -4.2107], [-11.2734, -1.2424, -1.5629]],
  "species": ["O", "O", "O", "O", "O", "O", "O", "Ba", "Ba", "Ba", "Zr", "Zr"],
  "frac_coords": [[0.1521, 0.6538, 0.1925], [0.2489, 0.2499, 0.9999], [0.3451, 0.8465, 0.8074], [0.8452, 0.3466, 0.8074], [0.0557, 0.0567, 0.3865], [0.6523, 0.1539, 0.1925], [0.4423, 0.4430, 0.6134], [0.7487, 0.7502, 0.9999], [0.9345, 0.9361, 0.6284], [0.5628, 0.5644, 0.3715], [0.1512, 0.1527, 0.1949], [0.3463, 0.3477, 0.8050]]
}



Question: What is the formula in the second record?
Answer: Ba2ZrO6



Question: What is the formula in the second record?
Answer: Ba2ZrO6